Record 1
PrPdAu PBE relaxed; energy above the lowest structure with this stoichiometry = 0.106 eV per atom; magnetization = 0.00 μB per cell; ΔH_f (0 K) = -663 meV per atom; calculated volume = 25.21 A^3/atom; SG = F-43m
1.0
0.000 3.357 3.357
3.357 0.000 3.357
3.357 3.357 0.000
Pr Pd Au
1 1 1
Direct
0.000 0.000 0.000
0.750 0.750 0.750
0.500 0.500 0.500

Record 2
LiWSe PBE relaxed; energy above the lowest structure with this stoichiometry = 0.069 eV per atom; magnetization = 0.00 μB per cell; formation energy without anion corrections = 0.158 eV/atom; calculated volume = 14.97 A^3/atom; SG = I4mm
1.0
-1.584 1.584 4.475
1.584 -1.584 4.475
1.584 1.584 -4.475
Li W Se
1 1 1
Direct
0.000 0.000 0.000
0.312 0.312 0.000
0.664 0.664 0.000